BaVCu2F8, relaxed, DFT PBE with a Hubbard U; total energy = -5.077 eV/atom
1.0
5.1936 0.0000 0.0000
-2.5968 4.4978 0.0000
0.0000 0.0000 7.6421
Ba V Cu F
1 1 2 8
Direct
0.0000 0.0000 0.0000 Ba
0.0000 0.0000 0.5000 V
0.3333 0.6667 0.7195 Cu
0.6667 0.3333 0.2805 Cu
0.0290 0.7217 0.3421 F
0.2783 0.3073 0.3421 F
0.3073 0.0290 0.6579 F
0.3333 0.6667 0.9756 F
0.6667 0.3333 0.0244 F
0.6927 0.9710 0.3421 F
0.7217 0.6927 0.6579 F
0.9710 0.2783 0.6579 F